The following is a DFT calculation (GGA-PBE) of a relaxed structure of KRb2SeF6.

E above lowest polymorph = 0.008 eV per atom
D(E_F) = 8.53 states/eV/f.u.
formation energy (no corrections) = -2.1582 eV per atom

Unit cell a=6.5373 b=6.5373 c=6.5373 alpha=118.09 beta=118.09 gamma=93.34
Fractional positions:
K 0.0000 0.0000 0.0000
Rb 0.2500 0.7500 0.5000
Rb 0.7500 0.2500 0.5000
Se 0.5000 0.5000 0.0000
F 0.2659 0.2659 0.5318
F 0.2659 0.7341 0.0000
F 0.2820 0.2820 0.0000
F 0.7180 0.7180 0.0000
F 0.7341 0.2659 0.0000
F 0.7341 0.7341 0.4682